(1)
DFT (PBE) results for a relaxed structure of Na2In2As.

It has space group P4/mbm (No. 127), with a = 7.4218 Å, b = 7.4218 Å, c = 5.0540 Å, α = 90.00°, β = 90.00° and γ = 90.00°. The inequivalent atoms are Na at (0.1710, 0.3290, 0.0000), In at (0.1400, 0.6400, 0.5000) and As at (0.0000, 0.0000, 0.5000).

For the total magnetization, the calculation gives 0.00 μB per cell. As for the calculated formation energy: -0.55 eV per formula unit. As for the distance to the lowest polymorph of the same formula: 0.0 kJ/mol of formula units.

(2)
DFT (PBE) results for a relaxed structure of RbGa2Ag.

It has space group I-42d (No. 122), with a = 5.2142 Å, b = 5.2142 Å, c = 18.7552 Å, α = 90.00°, β = 90.00° and γ = 90.00°. The inequivalent atoms are Rb at (0.0000, 0.0000, 0.0000), Ga at (0.0373, 0.2500, 0.6250) and Ag at (0.0000, 0.0000, 0.5000).

For the total magnetization, the calculation gives 0.00 μB per cell. As for the calculated formation energy: 0.42 eV per formula unit.